Entry 1:
DFT (GGA-PBE) results for crystalline HfAsC3 at its relaxed geometry.

## Properties
Total moment: 0.00 μB per formula unit
ΔE to the lowest computed polymorph: 0.0000 eV/atom
Energy of formation: 1.8443 eV per atom
Calculated total energy: -33.05 eV per cell

Cell lengths 3.868, 3.868, 3.868 Å; angles 90.00, 90.00, 90.00 degrees
Fractional positions:
C: 0.000 0.500 0.000
C: 0.500 0.000 0.000
C: 0.000 0.000 0.500
As: 0.000 0.000 0.000
Hf: 0.500 0.500 0.500

---

Entry 2:
DFT (GGA-PBE) results for crystalline Hf8As3C4 at its relaxed geometry.

## Properties
Total moment: 0.00 μB per formula unit
Energy of formation: -0.6158 eV per atom
Calculated total energy: -139.71 eV per cell

Cell lengths 6.965, 7.080, 7.080 Å; angles 90.04, 119.35, 119.35 degrees
Fractional positions:
As: 0.500 0.000 0.500
As: 0.500 0.500 0.000
As: 0.500 0.500 0.500
Hf: 0.025 0.774 0.774
Hf: 0.455 0.209 0.209
Hf: 0.000 0.767 0.233
Hf: 0.500 0.770 0.230
Hf: 0.545 0.791 0.791
Hf: 0.500 0.230 0.770
Hf: 0.975 0.226 0.226
Hf: 0.000 0.233 0.767
C: 0.000 0.000 0.500
C: 0.000 0.000 0.000
C: 0.500 0.000 0.000
C: 0.000 0.500 0.000

---

Entry 3:
DFT (GGA-PBE) results for crystalline HfAs3C at its relaxed geometry.

## Properties
Total moment: 0.00 μB per formula unit
ΔE to the lowest computed polymorph: 0.0000 eV/atom
Energy of formation: 0.6859 eV per atom
Calculated total energy: -29.70 eV per cell

Cell lengths 4.360, 4.360, 4.360 Å; angles 90.00, 90.00, 90.00 degrees
Fractional positions:
Hf: 0.500 0.500 0.500
C: 0.000 0.000 0.000
As: 0.000 0.000 0.500
As: 0.000 0.500 0.000
As: 0.500 0.000 0.000

---

Entry 4:
DFT (GGA-PBE) results for crystalline Hf6AsC at its relaxed geometry.

## Properties
Total moment: 0.00 μB per formula unit
Energy of formation: -0.3477 eV per atom
Calculated total energy: -76.38 eV per cell

Cell lengths 5.808, 5.808, 6.558 Å; angles 63.73, 63.74, 60.01 degrees
Fractional positions:
Hf: 0.051 0.406 0.779
Hf: 0.594 0.235 0.221
Hf: 0.406 0.765 0.779
Hf: 0.765 0.050 0.779
Hf: 0.235 0.950 0.221
Hf: 0.949 0.594 0.221
As: 0.500 0.500 0.500
C: 0.000 0.000 0.000

---

Entry 5:
DFT (GGA-PBE) results for crystalline HfAs2C at its relaxed geometry.

## Properties
Total moment: 0.00 μB per formula unit
ΔE to the lowest computed polymorph: 0.6627 eV/atom
Energy of formation: 1.1267 eV per atom
Calculated total energy: -23.97 eV per cell

Cell lengths 4.557, 4.557, 4.557 Å; angles 60.00, 60.00, 60.00 degrees
Fractional positions:
As: 0.250 0.250 0.250
As: 0.750 0.750 0.750
C: 0.000 0.000 0.000
Hf: 0.500 0.500 0.500

---

Entry 6:
DFT (GGA-PBE) results for crystalline HfAsC3 at its relaxed geometry.

## Properties
Total moment: 0.00 μB per formula unit
ΔE to the lowest computed polymorph: 0.3800 eV/atom
Energy of formation: 2.2243 eV per atom
Calculated total energy: -31.15 eV per cell

Cell lengths 4.305, 4.305, 4.305 Å; angles 90.00, 90.00, 90.00 degrees
Fractional positions:
C: 0.000 0.000 0.500
C: 0.500 0.000 0.000
C: 0.000 0.500 0.000
As: 0.500 0.500 0.500
Hf: 0.000 0.000 0.000

---

Entry 7:
DFT (GGA-PBE) results for crystalline Hf4AsC2 at its relaxed geometry.

## Properties
Total moment: 0.00 μB per formula unit
Energy of formation: -0.8939 eV per atom
Calculated total energy: -138.34 eV per cell

Cell lengths 3.424, 5.793, 11.595 Å; angles 90.00, 90.00, 107.19 degrees
Fractional positions:
Hf: 0.926 0.851 0.750
Hf: 0.236 0.473 0.607
Hf: 0.764 0.527 0.393
Hf: 0.236 0.473 0.893
Hf: 0.074 0.149 0.250
Hf: 0.500 0.000 0.500
Hf: 0.764 0.527 0.107
Hf: 0.500 0.000 0.000
As: 0.392 0.783 0.250
As: 0.608 0.217 0.750
C: 0.865 0.730 0.562
C: 0.865 0.730 0.938
C: 0.135 0.270 0.062
C: 0.135 0.270 0.438

---

Entry 8:
DFT (GGA-PBE) results for crystalline Hf7As2C2 at its relaxed geometry.

## Properties
Total moment: 0.00 μB per formula unit
Energy of formation: -0.5366 eV per atom
Calculated total energy: -103.32 eV per cell

Cell lengths 3.286, 8.281, 8.281 Å; angles 61.20, 78.56, 78.56 degrees
Fractional positions:
As: 0.000 0.746 0.254
As: 0.500 0.341 0.659
Hf: 0.369 0.728 0.534
Hf: 0.631 0.466 0.272
Hf: 0.817 0.085 0.280
Hf: 0.500 0.008 0.992
Hf: 0.183 0.720 0.915
Hf: 0.157 0.090 0.596
Hf: 0.843 0.404 0.910
C: 0.754 0.879 0.612
C: 0.246 0.388 0.121

---

Entry 9:
DFT (GGA-PBE) results for crystalline HfAs3C at its relaxed geometry.

## Properties
Total moment: 1.68 μB per formula unit
ΔE to the lowest computed polymorph: 0.9021 eV/atom
Energy of formation: 1.5881 eV per atom
Calculated total energy: -25.19 eV per cell

Cell lengths 5.125, 5.125, 5.125 Å; angles 90.00, 90.00, 90.00 degrees
Fractional positions:
Hf: 0.000 0.000 0.000
C: 0.500 0.500 0.500
As: 0.500 0.000 0.000
As: 0.000 0.500 0.000
As: 0.000 0.000 0.500

---

Entry 10:
DFT (GGA-PBE) results for crystalline HfAs2C at its relaxed geometry.

## Properties
Total moment: 0.00 μB per formula unit
ΔE to the lowest computed polymorph: 0.0000 eV/atom
Energy of formation: 0.4640 eV per atom
Calculated total energy: -53.24 eV per cell

Cell lengths 5.960, 5.960, 5.736 Å; angles 58.70, 58.70, 90.00 degrees
Fractional positions:
As: 0.217 0.625 0.250
As: 0.875 0.783 0.750
As: 0.533 0.125 0.250
As: 0.375 0.467 0.750
Hf: 0.750 0.250 0.500
Hf: 0.000 0.000 0.000
C: 0.500 0.500 0.000
C: 0.250 0.750 0.500

---

Entry 11:
DFT (GGA-PBE) results for crystalline Hf6As3C at its relaxed geometry.

## Properties
Total moment: 0.00 μB per formula unit
Energy of formation: -0.5759 eV per atom
Calculated total energy: -177.30 eV per cell

Cell lengths 6.195, 8.155, 8.155 Å; angles 102.02, 90.00, 90.00 degrees
Fractional positions:
As: 0.000 0.732 0.917
As: 0.351 0.403 0.597
As: 0.851 0.597 0.403
As: 0.500 0.268 0.083
As: 0.000 0.083 0.268
As: 0.500 0.917 0.732
Hf: 0.678 0.289 0.393
Hf: 0.695 0.232 0.768
Hf: 0.187 0.428 0.908
Hf: 0.180 0.047 0.953
Hf: 0.680 0.953 0.047
Hf: 0.187 0.092 0.572
Hf: 0.678 0.607 0.711
Hf: 0.687 0.572 0.092
Hf: 0.195 0.768 0.232
Hf: 0.178 0.393 0.289
Hf: 0.687 0.908 0.428
Hf: 0.178 0.711 0.607
C: 0.528 0.807 0.193
C: 0.028 0.193 0.807

---

Entry 12:
DFT (GGA-PBE) results for crystalline Hf6As2C at its relaxed geometry.

## Properties
Total moment: 0.00 μB per formula unit
Energy of formation: -0.7228 eV per atom
Calculated total energy: -169.50 eV per cell

Cell lengths 5.810, 6.689, 8.599 Å; angles 90.00, 91.45, 90.00 degrees
Fractional positions:
C: 0.500 0.500 0.000
C: 0.000 0.000 0.500
Hf: 0.865 0.979 0.251
Hf: 0.146 0.308 0.453
Hf: 0.658 0.178 0.544
Hf: 0.842 0.678 0.956
Hf: 0.342 0.822 0.456
Hf: 0.158 0.322 0.044
Hf: 0.365 0.521 0.751
Hf: 0.646 0.192 0.953
Hf: 0.354 0.808 0.047
Hf: 0.635 0.479 0.249
Hf: 0.135 0.021 0.749
Hf: 0.854 0.692 0.547
As: 0.573 0.884 0.748
As: 0.427 0.116 0.252
As: 0.073 0.616 0.248
As: 0.927 0.384 0.752

---

Entry 13:
DFT (GGA-PBE) results for crystalline La2HfAsC at its relaxed geometry.

## Properties
Total moment: 0.00 μB per formula unit
Energy of formation: 0.3194 eV per atom
Calculated total energy: -32.08 eV per cell

Cell lengths 5.165, 4.339, 5.165 Å; angles 90.00, 90.00, 90.00 degrees
Fractional positions:
La: 0.500 0.000 0.000
La: 0.000 0.000 0.500
Hf: 0.500 0.500 0.500
C: 0.000 0.000 0.000
As: 0.000 0.500 0.000

---

Entry 14:
DFT (GGA-PBE) results for crystalline Hf4AsC2N at its relaxed geometry.

## Properties
Total moment: 0.00 μB per formula unit
Calculated total energy: -76.13 eV per cell

Cell lengths 5.943, 5.561, 5.561 Å; angles 64.58, 57.70, 57.70 degrees
Fractional positions:
N: 0.500 0.500 0.500
Hf: 0.535 0.465 0.871
Hf: 0.465 0.129 0.535
Hf: 0.871 0.535 0.129
Hf: 0.129 0.871 0.465
As: 0.000 0.000 0.000
C: 0.250 0.250 0.250
C: 0.750 0.750 0.750

---

Entry 15:
DFT (GGA-PBE) results for crystalline Hf4AsCN2 at its relaxed geometry.

## Properties
Total moment: 0.00 μB per formula unit
Calculated total energy: -77.97 eV per cell

Cell lengths 5.806, 5.602, 5.602 Å; angles 62.41, 58.79, 58.79 degrees
Fractional positions:
Hf: 0.121 0.879 0.476
Hf: 0.524 0.476 0.879
Hf: 0.879 0.524 0.121
Hf: 0.476 0.121 0.524
N: 0.750 0.750 0.750
N: 0.250 0.250 0.250
As: 0.000 0.000 0.000
C: 0.500 0.500 0.500

---

Entry 16:
DFT (GGA-PBE) results for crystalline HfAsC2O at its relaxed geometry.

## Properties
Total moment: 1.06 μB per formula unit
Calculated total energy: -28.30 eV per cell

Cell lengths 4.193, 5.402, 4.193 Å; angles 90.00, 90.00, 90.00 degrees
Fractional positions:
As: 0.000 0.500 0.000
O: 0.500 0.500 0.500
C: 0.000 0.000 0.500
C: 0.500 0.000 0.000
Hf: 0.000 0.000 0.000

---

Entry 17:
DFT (GGA-PBE) results for crystalline HfAsC2S at its relaxed geometry.

## Properties
Total moment: 0.00 μB per formula unit
Calculated total energy: -29.68 eV per cell

Cell lengths 4.288, 5.017, 4.288 Å; angles 90.00, 90.00, 90.00 degrees
Fractional positions:
C: 0.500 0.000 0.000
C: 0.000 0.000 0.500
Hf: 0.000 0.000 0.000
S: 0.000 0.500 0.000
As: 0.500 0.500 0.500

---

Entry 18:
DFT (GGA-PBE) results for crystalline SrHf2AsC at its relaxed geometry.

## Properties
Total moment: 0.00 μB per formula unit
Energy of formation: -0.1537 eV per atom
Calculated total energy: -36.23 eV per cell

Cell lengths 4.450, 5.372, 4.450 Å; angles 90.00, 90.00, 90.00 degrees
Fractional positions:
As: 0.500 0.500 0.500
C: 0.000 0.000 0.000
Hf: 0.000 0.000 0.500
Hf: 0.500 0.000 0.000
Sr: 0.000 0.500 0.000

---

Entry 19:
DFT (GGA-PBE) results for crystalline HgAsC3 at its relaxed geometry.

## Properties
Total moment: 1.69 μB per formula unit
ΔE to the lowest computed polymorph: 0.8405 eV/atom
Energy of formation: 3.5194 eV per atom
Calculated total energy: -15.03 eV per cell

Cell lengths 4.312, 4.312, 4.312 Å; angles 90.00, 90.00, 90.00 degrees
Fractional positions:
C: 0.000 0.500 0.000
C: 0.500 0.000 0.000
C: 0.000 0.000 0.500
Hg: 0.000 0.000 0.000
As: 0.500 0.500 0.500

---

Entry 20:
DFT (GGA-PBE) results for crystalline HgAsC3 at its relaxed geometry.

## Properties
Total moment: 0.00 μB per formula unit
ΔE to the lowest computed polymorph: 0.0000 eV/atom
Energy of formation: 2.6788 eV per atom
Calculated total energy: -19.23 eV per cell

Cell lengths 4.013, 4.013, 4.013 Å; angles 90.00, 90.00, 90.00 degrees
Fractional positions:
As: 0.000 0.000 0.000
C: 0.500 0.000 0.000
C: 0.000 0.000 0.500
C: 0.000 0.500 0.000
Hg: 0.500 0.500 0.500

---

Entry 21:
DFT (GGA-PBE) results for crystalline HgAsC2N at its relaxed geometry.

## Properties
Total moment: 2.47 μB per formula unit
Calculated total energy: -15.46 eV per cell

Cell lengths 4.260, 4.387, 4.260 Å; angles 90.00, 90.00, 90.00 degrees
Fractional positions:
As: 0.500 0.500 0.500
Hg: 0.000 0.000 0.000
C: 0.000 0.000 0.500
C: 0.500 0.000 0.000
N: 0.000 0.500 0.000

---

Entry 22:
DFT (GGA-PBE) results for crystalline NiHgAsC2 at its relaxed geometry.

## Properties
Total moment: 0.26 μB per formula unit
Energy of formation: 1.6686 eV per atom
Calculated total energy: -20.84 eV per cell

Cell lengths 3.734, 5.708, 3.734 Å; angles 90.00, 90.00, 90.00 degrees
Fractional positions:
As: 0.500 0.500 0.500
C: 0.500 0.000 0.000
C: 0.000 0.000 0.500
Hg: 0.000 0.500 0.000
Ni: 0.000 0.000 0.000

---

Entry 23:
DFT (GGA-PBE) results for crystalline HgAsPC2 at its relaxed geometry.

## Properties
Total moment: 0.00 μB per formula unit
Energy of formation: 1.6697 eV per atom
Calculated total energy: -20.46 eV per cell

Cell lengths 3.722, 5.291, 3.722 Å; angles 90.00, 90.00, 90.00 degrees
Fractional positions:
C: 0.000 0.000 0.500
C: 0.500 0.000 0.000
P: 0.000 0.000 0.000
Hg: 0.500 0.500 0.500
As: 0.000 0.500 0.000

---

Entry 24:
DFT (GGA-PBE) results for crystalline HgAs2PbC at its relaxed geometry.

## Properties
Total moment: 0.00 μB per formula unit
Energy of formation: 1.4401 eV per atom
Calculated total energy: -15.33 eV per cell

Cell lengths 5.595, 3.928, 5.595 Å; angles 90.00, 90.00, 90.00 degrees
Fractional positions:
C: 0.000 0.500 0.000
Pb: 0.500 0.500 0.500
Hg: 0.000 0.000 0.000
As: 0.000 0.000 0.500
As: 0.500 0.000 0.000

---

Entry 25:
DFT (GGA-PBE) results for crystalline Hg2AsCS at its relaxed geometry.

## Properties
Total moment: 0.00 μB per formula unit
Calculated total energy: -12.89 eV per cell

Cell lengths 5.668, 3.404, 5.668 Å; angles 90.00, 90.00, 90.00 degrees
Fractional positions:
As: 0.500 0.500 0.500
S: 0.000 0.000 0.000
Hg: 0.000 0.000 0.500
Hg: 0.500 0.000 0.000
C: 0.000 0.500 0.000